No. 1
## GaMo (PBE)

Data for a geometry-optimized GaMo structure.

abc: 3.3380 3.3380 2.7571
angles: 90.00 90.00 90.00
Closest atoms and distances in Å follow each position.
Element x y z (fractional)
Mo1 0.5000 0.5000 0.0000  8 Ga 2.73, 2 Mo 2.76
Ga1 0.0000 0.0000 0.5000  8 Mo 2.73, 2 Ga 2.76

## Properties
excess energy over the best structure of this formula in the dataset: 0.2143 eV per atom
space group: P4/mmm, No. 123
DFT formation energy: 127 meV/atom

No. 2
## FeAsIr2 (PBE)

Data for a geometry-optimized FeAsIr2 structure.

abc: 2.8093 4.6609 4.4505
angles: 90.00 90.00 90.00
Closest atoms and distances in Å follow each position.
Element x y z (fractional)
As1 0.5000 0.0000 0.5000  4 Ir 2.63, 4 Fe 2.72, 2 As 2.81
Fe1 0.0000 0.5000 0.5000  4 Ir 2.63, 4 As 2.72, 2 Fe 2.81
Ir1 0.5000 0.5000 0.0000  4 Fe 2.63, 6 Ir 2.72-2.81
Ir2 0.0000 0.0000 0.0000  4 As 2.63, 6 Ir 2.72-2.81

## Properties
space group: Pmmm, No. 47
DFT formation energy: 206 meV/atom

No. 3
## PrDyBiO2 (PBE)

Data for a geometry-optimized PrDyBiO2 structure.

abc: 3.9694 3.9694 7.4902
angles: 105.37 105.37 90.00
Closest atoms and distances in Å follow each position.
Element x y z (fractional)
Bi1 0.5046 0.5046 0.0093  4 Dy 3.62, 4 Pr 3.66, 4 O 3.88, 4 Bi 3.97
O1 0.2449 0.7449 0.4899  2 Dy 2.24, 2 Pr 2.35
O2 0.7449 0.2449 0.4899  2 Dy 2.24, 2 Pr 2.35
Dy1 0.1695 0.1695 0.3391  4 O 2.24
Pr1 0.8360 0.8360 0.6719  4 O 2.35

## Properties
space group: I4mm, No. 107
uncorrected formation energy: -2604 meV/atom